{
  "formula": "HRh2W",
  "functional": "PBE",
  "state": "optimized geometry",
  "rho_g_cm3": 13.3,
  "relative_energy_kj_per_mol_fu": 66,
  "lattice_angstrom": [[2.769, 0.000, 0.000], [0.000, 2.769, 0.000], [0.000, 0.000, 6.339]],
  "species": ["H", "Rh", "Rh", "W"],
  "frac_coords": [[0.500, 0.500, 0.000], [0.000, 0.000, 0.793], [0.000, 0.000, 0.207], [0.500, 0.500, 0.500]]
}